1.
# PBE-GGA Pm3Ga2Ni9Ge, optimized geometry
# Size of the total moment = 0.0 μB/cell
# SG = P-3m1
# Mass density = 7.35 Mg/m³
# ΔE_f = -0.148 eV/atom
# E = -79.2 eV per cell
data_Pm3Ga2Ni9Ge
_cell_length_a 6.0657
_cell_length_b 6.0657
_cell_length_c 8.3316
_cell_angle_alpha 90.00
_cell_angle_beta 90.00
_cell_angle_gamma 120.00
_symmetry_space_group_name_H-M 'P 1'
_symmetry_Int_Tables_number 1
loop_
_symmetry_equiv_pos_as_xyz
'x,y,z'
loop_
_atom_site_label
_atom_site_fract_x
_atom_site_fract_y
_atom_site_fract_z
Ni1 0.8661 0.7323 0.7183
Ni2 0.7323 0.8661 0.2817
Ni3 0.5000 0.5000 0.0000
Ni4 0.2677 0.1339 0.7183
Ni5 0.1339 0.2677 0.2817
Ni6 0.8661 0.1339 0.7183
Ni7 0.0000 0.5000 0.0000
Ni8 0.1339 0.8661 0.2817
Ni9 0.5000 0.0000 0.0000
Pm1 0.0000 0.0000 0.0000
Pm2 0.3333 0.6667 0.6819
Pm3 0.6667 0.3333 0.3181
Ge1 0.0000 0.0000 0.5000
Ga1 0.6667 0.3333 0.8103
Ga2 0.3333 0.6667 0.1897



2.
# PBE-GGA Pr2GaNi3Ge4, optimized geometry
# Size of the total moment = 0.0 μB/cell
# SG = P-4m2
# Mass density = 7.70 Mg/m³
# ΔE_f = -0.651 eV/atom
# E = -54.9 eV per cell
data_Pr2GaNi3Ge4
_cell_length_a 4.1845
_cell_length_b 4.1845
_cell_length_c 10.0790
_cell_angle_alpha 90.00
_cell_angle_beta 90.00
_cell_angle_gamma 90.00
_symmetry_space_group_name_H-M 'P 1'
_symmetry_Int_Tables_number 1
loop_
_symmetry_equiv_pos_as_xyz
'x,y,z'
loop_
_atom_site_label
_atom_site_fract_x
_atom_site_fract_y
_atom_site_fract_z
Ni1 0.0000 0.5000 0.1182
Ni2 0.0000 0.0000 0.5000
Ni3 0.5000 0.0000 0.8818
Ge1 0.5000 0.0000 0.6459
Ge2 0.0000 0.5000 0.3541
Ge3 0.5000 0.5000 0.0000
Ge4 0.0000 0.0000 0.0000
Pr1 0.5000 0.0000 0.2416
Pr2 0.0000 0.5000 0.7584
Ga1 0.5000 0.5000 0.5000



3.
# PBE-GGA Pr2GaNi6Ge, optimized geometry
# Size of the total moment = 0.0 μB/cell
# SG = P-1
# Mass density = 7.66 Mg/m³
# ΔE_f = -0.337 eV/atom
# E = -55.3 eV per cell
data_Pr2GaNi6Ge
_cell_length_a 6.2405
_cell_length_b 6.1379
_cell_length_c 6.1237
_cell_angle_alpha 59.90
_cell_angle_beta 60.93
_cell_angle_gamma 89.76
_symmetry_space_group_name_H-M 'P 1'
_symmetry_Int_Tables_number 1
loop_
_symmetry_equiv_pos_as_xyz
'x,y,z'
loop_
_atom_site_label
_atom_site_fract_x
_atom_site_fract_y
_atom_site_fract_z
Pr1 0.3811 0.7931 0.4140
Pr2 0.6190 0.2069 0.5860
Ni1 0.8815 0.6804 0.9452
Ni2 0.1185 0.3196 0.0548
Ni3 0.8788 0.8277 0.4936
Ni4 0.1169 0.6236 0.2051
Ni5 0.1212 0.1723 0.5064
Ni6 0.8831 0.3764 0.7949
Ga1 0.5000 0.5000 0.0000
Ge1 0.0000 0.0000 0.0000



4.
# PBE-GGA PrGa2Ni2Ge, optimized geometry
# Size of the total moment = 0.0 μB/cell
# SG = P4/mmm
# Mass density = 7.10 Mg/m³
# ΔE_f = -0.338 eV/atom
# E = -29.0 eV per cell
data_PrGa2Ni2Ge
_cell_length_a 4.4060
_cell_length_b 4.4060
_cell_length_c 5.6684
_cell_angle_alpha 90.00
_cell_angle_beta 90.00
_cell_angle_gamma 90.00
_symmetry_space_group_name_H-M 'P 1'
_symmetry_Int_Tables_number 1
loop_
_symmetry_equiv_pos_as_xyz
'x,y,z'
loop_
_atom_site_label
_atom_site_fract_x
_atom_site_fract_y
_atom_site_fract_z
Ge1 0.0000 0.0000 0.0000
Pr1 0.0000 0.0000 0.5000
Ga1 0.5000 0.5000 0.7424
Ga2 0.5000 0.5000 0.2576
Ni1 0.5000 0.0000 0.0000
Ni2 0.0000 0.5000 0.0000



5.
# PBE-GGA GaNi2GePt4, optimized geometry
# Size of the total moment = 2.0 μB/cell
# SG = I4/mmm
# Mass density = 13.62 Mg/m³
# ΔE_f = -0.010 eV/atom
# E = -43.4 eV per cell
data_GaNi2GePt4
_cell_length_a 5.5426
_cell_length_b 5.5426
_cell_length_c 5.5426
_cell_angle_alpha 121.34
_cell_angle_beta 103.88
_cell_angle_gamma 103.88
_symmetry_space_group_name_H-M 'P 1'
_symmetry_Int_Tables_number 1
loop_
_symmetry_equiv_pos_as_xyz
'x,y,z'
loop_
_atom_site_label
_atom_site_fract_x
_atom_site_fract_y
_atom_site_fract_z
Ge1 0.0000 0.0000 0.0000
Ni1 0.5000 0.2500 0.7500
Ni2 0.5000 0.7500 0.2500
Pt1 0.0000 0.7524 0.2487
Pt2 0.0000 0.2487 0.7524
Pt3 0.4963 0.2476 0.2476
Pt4 0.5037 0.7513 0.7513
Ga1 0.0000 0.5000 0.5000



6.
# PBE-GGA Pu2Ga3Ni4Ge, optimized geometry
# Size of the total moment = 11.2 μB/cell
# SG = P-4m2
# Mass density = 10.06 Mg/m³
# ΔE_f = -0.400 eV/atom
# E = -69.5 eV per cell
data_Pu2Ga3Ni4Ge
_cell_length_a 4.1622
_cell_length_b 4.1622
_cell_length_c 9.5690
_cell_angle_alpha 90.00
_cell_angle_beta 90.00
_cell_angle_gamma 90.00
_symmetry_space_group_name_H-M 'P 1'
_symmetry_Int_Tables_number 1
loop_
_symmetry_equiv_pos_as_xyz
'x,y,z'
loop_
_atom_site_label
_atom_site_fract_x
_atom_site_fract_y
_atom_site_fract_z
Ga1 0.0000 0.5000 0.1252
Ga2 0.5000 0.0000 0.8748
Ga3 0.0000 0.0000 0.5000
Ge1 0.5000 0.5000 0.5000
Ni1 0.5000 0.5000 0.0000
Ni2 0.0000 0.0000 0.0000
Ni3 0.0000 0.5000 0.3727
Ni4 0.5000 0.0000 0.6273
Pu1 0.0000 0.5000 0.7540
Pu2 0.5000 0.0000 0.2460